No. 1
First-principles (meta-GGA SCAN) data for CrBP2S at its PBEsol-relaxed geometry, as listed in the Alexandria database.

Properties
Formation energy (no corrections): 751.4 meV per atom
Space group: P4/mmm
Calculated total energy: -10.4965 eV/atom
Crystal system: tetragonal

Cell lengths 3.9776, 3.9776, 4.2856 Å; angles 90.00, 90.00, 90.00 degrees
Atoms (fractional coordinates):
Cr: 0.0000 0.0000 0.0000
B: 0.5000 0.5000 0.5000
P: 0.0000 0.5000 0.5000
P: 0.5000 0.0000 0.5000
S: 0.5000 0.5000 0.0000

No. 2
First-principles (meta-GGA SCAN) data for Sc2VO5 at its PBEsol-relaxed geometry, as listed in the Alexandria database.

Properties
Formation energy (no corrections): -3427.2 meV per atom
Space group: I-4
Calculated total energy: -13.0670 eV/atom
Crystal system: tetragonal

Cell lengths 9.0721, 9.0721, 9.0721 Å; angles 129.38, 129.38, 74.40 degrees
Atoms (fractional coordinates):
Sc: 0.0399 0.2854 0.3440
Sc: 0.1920 0.1920 0.0000
Sc: 0.1941 0.0052 0.5476
Sc: 0.3041 0.9601 0.2455
Sc: 0.3535 0.8059 0.8111
Sc: 0.4576 0.6465 0.4524
Sc: 0.7146 0.0587 0.7545
Sc: 0.8080 0.8080 0.0000
Sc: 0.9413 0.6959 0.6560
Sc: 0.9948 0.5424 0.1889
V: 0.0386 0.4375 0.8068
V: 0.5000 0.5000 0.0000
V: 0.5625 0.3693 0.6012
V: 0.6307 0.2319 0.1932
V: 0.7681 0.9614 0.3988
O: 0.0073 0.1571 0.6609
O: 0.0686 0.0133 0.2670
O: 0.0739 0.5739 0.5000
O: 0.1156 0.6852 0.9496
O: 0.1945 0.4720 0.1067
O: 0.1983 0.9314 0.9447
O: 0.2500 0.7500 0.5000
O: 0.2631 0.3573 0.7610
O: 0.3148 0.2644 0.4304
O: 0.3653 0.0878 0.8933
O: 0.4261 0.9261 0.5000
O: 0.4962 0.3465 0.3391
O: 0.4979 0.7369 0.0941
O: 0.5280 0.6347 0.7225
O: 0.5963 0.5021 0.2390
O: 0.6220 0.1220 0.5000
O: 0.6427 0.4037 0.9059
O: 0.6535 0.9927 0.1497
O: 0.7356 0.1660 0.0504
O: 0.7463 0.8017 0.7330
O: 0.8340 0.8844 0.5696
O: 0.8429 0.5038 0.8503
O: 0.8780 0.3780 0.5000
O: 0.9122 0.8055 0.2775
O: 0.9867 0.2537 0.0553

No. 3
First-principles (meta-GGA SCAN) data for Zn4CuSb at its PBEsol-relaxed geometry, as listed in the Alexandria database.

Properties
Formation energy (no corrections): 227.4 meV per atom
Space group: F-43m
Calculated total energy: -17.5261 eV/atom
Crystal system: cubic

Cell lengths 5.1326, 5.1326, 5.1326 Å; angles 60.00, 60.00, 60.00 degrees
Atoms (fractional coordinates):
Zn: 0.1241 0.1241 0.1241
Zn: 0.1241 0.1241 0.6278
Zn: 0.1241 0.6278 0.1241
Zn: 0.6278 0.1241 0.1241
Cu: 0.7500 0.7500 0.7500
Sb: 0.5000 0.5000 0.5000

No. 4
First-principles (meta-GGA SCAN) data for SrMg2Cd at its PBEsol-relaxed geometry, as listed in the Alexandria database.

Properties
Space group: P2/m
ΔE_f: -89 meV per atom
Calculated total energy: -15.7479 eV/atom
Crystal system: monoclinic

Cell lengths 3.5557, 5.0676, 6.2971 Å; angles 90.00, 101.23, 90.00 degrees
Atoms (fractional coordinates):
Sr: 0.0000 0.0000 0.0000
Mg: 0.3585 0.5000 0.7171
Mg: 0.6415 0.5000 0.2829
Cd: 0.5000 0.0000 0.5000

No. 5
First-principles (meta-GGA SCAN) data for MgAg3I at its PBEsol-relaxed geometry, as listed in the Alexandria database.

Properties
Formation energy (no corrections): 613.9 meV per atom
Space group: Pm-3m
Calculated total energy: -26.5494 eV/atom
Crystal system: cubic

Cell lengths 5.0273, 5.0273, 5.0273 Å; angles 90.00, 90.00, 90.00 degrees
Atoms (fractional coordinates):
Mg: 0.0000 0.0000 0.0000
Ag: 0.0000 0.0000 0.5000
Ag: 0.0000 0.5000 0.0000
Ag: 0.5000 0.0000 0.0000
I: 0.5000 0.5000 0.5000

No. 6
First-principles (meta-GGA SCAN) data for LaCo2Pb at its PBEsol-relaxed geometry, as listed in the Alexandria database.

Properties
Space group: P4mm
ΔE_f: 84 meV per atom
Calculated total energy: -38.2893 eV/atom
Crystal system: tetragonal

Cell lengths 3.2144, 3.2144, 7.3664 Å; angles 90.00, 90.00, 90.00 degrees
Atoms (fractional coordinates):
La: 0.0000 0.0000 0.0000
Co: 0.0000 0.0000 0.6119
Co: 0.5000 0.5000 0.7388
Pb: 0.5000 0.5000 0.3731